1.
# Er2Zr3Sn4

A relaxed Er2Zr3Sn4 crystal (PBE, Alexandria).

For the formation energy from the elements, the calculation gives -0.65 eV/atom.

It has space group P2_1/c (No. 14), with a = 7.868 Å, b = 7.847 Å, c = 7.662 Å, α = 90.00°, β = 110.65° and γ = 90.00°. The distinct sites, in fractional coordinates, are Er at (0.185, 0.169, 0.056), Zr at (0.253, 0.677, 0.245), Zr at (0.500, 0.000, 0.500), Sn at (0.082, 0.534, 0.848) and Sn at (0.482, 0.137, 0.859).

=====

2.
# Be2GaGe

A relaxed Be2GaGe crystal (PBE, Alexandria).

For the formation energy from the elements, the calculation gives 0.50 eV/atom.

It has space group Fm-3m (No. 225), with a = 6.002 Å, b = 6.002 Å, c = 6.002 Å, α = 90.00°, β = 90.00° and γ = 90.00°. The distinct sites, in fractional coordinates, are Be at (0.250, 0.250, 0.250), Ga at (0.000, 0.000, 0.000) and Ge at (0.000, 0.000, 0.500).

=====

3.
# Dy2HoCd3

A relaxed Dy2HoCd3 crystal (PBE, Alexandria).

For the formation energy from the elements, the calculation gives -0.32 eV/atom.

It has space group P-3m1 (No. 164), with a = 5.2804 Å, b = 5.2804 Å, c = 6.4876 Å, α = 90.00°, β = 90.00° and γ = 120.00°. The distinct sites, in fractional coordinates, are Dy at (0.3333, 0.6667, 0.1681), Ho at (0.0000, 0.0000, 0.5000), Cd at (0.0000, 0.0000, 0.0000) and Cd at (0.3333, 0.6667, 0.6671).

=====

4.
# InMoPb2

A relaxed InMoPb2 crystal (PBE, Alexandria).

For the formation energy from the elements, the calculation gives 0.65 eV/atom.

It has space group P2/m (No. 10), with a = 3.222 Å, b = 5.055 Å, c = 6.115 Å, α = 90.00°, β = 101.33° and γ = 90.00°. The distinct sites, in fractional coordinates, are In at (0.000, 0.000, 0.000), Mo at (0.000, 0.000, 0.500) and Pb at (0.368, 0.500, 0.734).

=====

5.
# Tb5HoEr

A relaxed Tb5HoEr crystal (PBE, Alexandria).

For the formation energy from the elements, the calculation gives 0.19 eV/atom.

It has space group C2/c (No. 15), with a = 11.671 Å, b = 6.698 Å, c = 12.201 Å, α = 90.00°, β = 110.96° and γ = 90.00°. The distinct sites, in fractional coordinates, are Tb at (0.000, 0.083, 0.250), Tb at (0.080, 0.239, 0.002), Tb at (0.218, 0.135, 0.744), Ho at (0.000, 0.472, 0.750) and Er at (0.250, 0.250, 0.500).

=====

6.
# HBr2F

A relaxed HBr2F crystal (PBE, Alexandria).

As for the electronic total energy: -1.860 eV/atom.

It has space group I-42d (No. 122), with a = 4.992 Å, b = 4.992 Å, c = 12.146 Å, α = 90.00°, β = 90.00° and γ = 90.00°. The distinct sites, in fractional coordinates, are H at (0.000, 0.000, 0.000), Br at (0.106, 0.250, 0.125) and F at (0.000, 0.000, 0.500).

=====

7.
# Eu2ErN

A relaxed Eu2ErN crystal (PBE, Alexandria).

As for the electronic total energy: -8.767 eV/atom.

It has space group R-3m (No. 166, hexagonal axes), with a = 3.5463 Å, b = 3.5463 Å, c = 29.7310 Å, α = 90.00°, β = 90.00° and γ = 120.00°. The distinct sites, in fractional coordinates, are Eu at (0.0000, 0.0000, 0.1193), Er at (0.0000, 0.0000, 0.0000) and N at (0.0000, 0.0000, 0.5000).

=====

8.
# CsPaTlBr6

A relaxed CsPaTlBr6 crystal (PBE, Alexandria).

As for the electronic total energy: -3.969 eV/atom.

It has space group P-31c (No. 163), with a = 8.5753 Å, b = 8.5753 Å, c = 12.5931 Å, α = 90.00°, β = 90.00° and γ = 120.00°. The distinct sites, in fractional coordinates, are Cs at (0.3333, 0.6667, 0.2500), Pa at (0.3333, 0.6667, 0.7500), Tl at (0.0000, 0.0000, 0.0000) and Br at (0.0730, 0.3903, 0.6210).